A relaxed LiBe2Zn2 crystal. Source: Alexandria, functional GGA-PBE.

```
data_LiBe2Zn2
_chemical_formula_sum 'Li2 Be4 Zn4'
_cell_length_a 6.978
_cell_length_b 6.978
_cell_length_c 2.479
_cell_angle_alpha 90.00
_cell_angle_beta 90.00
_cell_angle_gamma 90.00
_space_group_name_H-M_alt 'P 4/m b m'
_space_group_IT_number 127
_space_group_name_Hall '-P 4 2ab'
loop_
_atom_site_label
_atom_site_fract_x
_atom_site_fract_y
_atom_site_fract_z
_atom_site_occupancy
Li1 0.000 0.000 0.000 1
Be1 0.115 0.385 0.000 1
Zn1 0.181 0.681 0.500 1
```

Output
- total magnetization (μB per atom) = 0.000
- E_form (eV per atom) = 0.014
- crystal system = tetragonal
- energy above the lowest structure with this stoichiometry (eV/atom) = 0.000



A relaxed LaCe2ErSe4 crystal. Source: Alexandria, functional GGA-PBE.

```
data_LaCe2ErSe4
_chemical_formula_sum 'La1 Ce2 Er1 Se4'
_cell_length_a 7.269
_cell_length_b 4.165
_cell_length_c 7.296
_cell_angle_alpha 90.00
_cell_angle_beta 109.09
_cell_angle_gamma 90.00
_space_group_name_H-M_alt 'P 1 2/m 1'
_space_group_IT_number 10
loop_
_space_group_symop_operation_xyz
'x,y,z'
'-x,-y,-z'
'-x,y,-z'
'x,-y,z'
loop_
_atom_site_label
_atom_site_fract_x
_atom_site_fract_y
_atom_site_fract_z
_atom_site_occupancy
La1 0.000 0.000 0.000 1
Ce1 0.000 0.500 0.500 1
Ce2 0.500 0.000 0.500 1
Er1 0.500 0.500 0.000 1
Se1 0.261 0.500 0.249 1
Se2 0.264 0.000 0.759 1
```

Output
- total magnetization (μB per atom) = 0.253
- raw formation energy (eV per atom) = -1.83
- crystal system = monoclinic



A relaxed TbMg2Zn crystal. Source: Alexandria, functional GGA-PBE.

```
data_TbMg2Zn
_chemical_formula_sum 'Tb1 Mg2 Zn1'
_cell_length_a 3.316
_cell_length_b 3.316
_cell_length_c 8.250
_cell_angle_alpha 90.00
_cell_angle_beta 90.00
_cell_angle_gamma 90.00
_space_group_name_H-M_alt 'P 4/m m m'
_space_group_IT_number 123
_space_group_name_Hall '-P 4 2'
loop_
_atom_site_label
_atom_site_fract_x
_atom_site_fract_y
_atom_site_fract_z
_atom_site_occupancy
Tb1 0.000 0.000 0.000 1
Mg1 0.500 0.500 0.297 1
Zn1 0.000 0.000 0.500 1
```

Output
- total magnetization (μB per atom) = 0.001
- E_form (eV per atom) = -0.080
- crystal system = tetragonal



A relaxed MnSi2Cl crystal. Source: Alexandria, functional GGA-PBE.

```
data_MnSi2Cl
_chemical_formula_sum 'Mn1 Si2 Cl1'
_cell_length_a 4.148
_cell_length_b 4.706
_cell_length_c 4.169
_cell_angle_alpha 90.00
_cell_angle_beta 113.58
_cell_angle_gamma 90.00
_space_group_name_H-M_alt 'P 1 2/m 1'
_space_group_IT_number 10
loop_
_space_group_symop_operation_xyz
'x,y,z'
'-x,-y,-z'
'-x,y,-z'
'x,-y,z'
loop_
_atom_site_label
_atom_site_fract_x
_atom_site_fract_y
_atom_site_fract_z
_atom_site_occupancy
Mn1 0.000 0.000 0.000 1
Si1 0.171 0.500 0.829 1
Cl1 0.500 0.000 0.500 1
```

Output
- total magnetization (μB per atom) = 0.824
- raw formation energy (eV per atom) = 0.15
- crystal system = monoclinic
- energy above the lowest structure with this stoichiometry (eV/atom) = 0.173



A relaxed CsBa2Zr2 crystal. Source: Alexandria, functional GGA-PBE.

```
data_CsBa2Zr2
_chemical_formula_sum 'Cs4 Ba8 Zr8'
_cell_length_a 32.976
_cell_length_b 7.355
_cell_length_c 4.427
_cell_angle_alpha 90.00
_cell_angle_beta 96.94
_cell_angle_gamma 90.00
_space_group_name_H-M_alt 'C 1 2/m 1'
_space_group_IT_number 12
loop_
_space_group_symop_operation_xyz
'x,y,z'
'-x,-y,-z'
'-x,y,-z'
'x,-y,z'
'x+1/2,y+1/2,z'
'-x+1/2,-y+1/2,-z'
'-x+1/2,y+1/2,-z'
'x+1/2,-y+1/2,z'
loop_
_atom_site_label
_atom_site_fract_x
_atom_site_fract_y
_atom_site_fract_z
_atom_site_occupancy
Cs1 0.209 0.000 0.196 1
Ba1 0.068 0.000 0.062 1
Ba2 0.126 0.500 0.613 1
Zr1 0.000 0.297 0.500 1
Zr2 0.044 0.500 0.039 1
```

Output
- total magnetization (μB per atom) = 0.000
- E_form (eV per atom) = 0.283
- crystal system = monoclinic
- energy above the lowest structure with this stoichiometry (eV/atom) = 0.046



A relaxed BaAuCl2 crystal. Source: Alexandria, functional GGA-PBE.

```
data_BaAuCl2
_chemical_formula_sum 'Ba3 Au3 Cl6'
_cell_length_a 4.8488
_cell_length_b 4.8488
_cell_length_c 25.0686
_cell_angle_alpha 90.00
_cell_angle_beta 90.00
_cell_angle_gamma 120.00
_space_group_name_H-M_alt 'R -3 m'
_space_group_IT_number 166
_space_group_name_Hall '-R 3 2"'
loop_
_atom_site_label
_atom_site_fract_x
_atom_site_fract_y
_atom_site_fract_z
_atom_site_occupancy
Ba1 0.0000 0.0000 0.0000 1
Au1 0.0000 0.0000 0.5000 1
Cl1 0.0000 0.0000 0.3866 1
```

Output
- total magnetization (μB per atom) = 0.000
- raw formation energy (eV per atom) = -1.18
- crystal system = trigonal
- energy above the lowest structure with this stoichiometry (eV/atom) = 0.157